[1]
Material: AgHg2F4
Method: DFT, PBE
State: optimized geometry

symmetry = P2_1/m, No. 11
V = 16.57 Å³/atom
uncorrected energy = -2.739 eV/atom
formation energy (no corrections) = -1176 meV/atom
polymorph energy (0 for the lowest one) = 0.0 kJ per mole of atoms

Structure (extended XYZ):
```
14
Lattice="-3.0701 2.7487 4.0431 -4.3678 -3.0923 -1.2144 3.7933 -6.4431 2.7632" Properties=species:S:1:pos:R:3 pbc="T T T"
Ag -0.7501 -3.7236 5.9803
Ag -2.8945 -3.0630 -0.3884
F -3.3961 0.8369 3.8844
F -1.8625 -1.8942 5.3226
F -1.7821 -4.8925 0.2694
F -1.2535 -4.4856 3.6113
F 0.9023 -2.9593 4.2107
F -0.2485 -7.6235 1.7076
F -2.3911 -2.3010 1.9806
F -4.5469 -3.8273 1.3812
Hg -0.1285 -3.0418 2.0081
Hg -2.3087 0.0844 1.8892
Hg -1.3359 -6.8710 3.7027
Hg -3.5161 -3.7449 3.5838
```

=====

[2]
Material: Ag3HgF
Method: DFT, PBE
State: optimized geometry

symmetry = Pm-3m, No. 221
V = 29.82 Å³/atom
uncorrected energy = -1.698 eV/atom
formation energy (no corrections) = 447 meV/atom
polymorph energy (0 for the lowest one) = 53.5 kJ per mole of atoms

Structure (extended XYZ):
```
5
Lattice="-1.7667 -4.2269 -2.6701 -0.6126 -2.6275 4.5649 -4.9620 1.8294 0.3871" Properties=species:S:1:pos:R:3 pbc="T T T"
Hg 0.0000 0.0000 0.0000
Ag -2.4810 0.9147 0.1935
Ag -0.8834 -2.1135 -1.3350
Ag -0.3063 -1.3138 2.2825
F -3.6707 -2.5125 1.1410
```

=====

[3]
Material: AgHgF
Method: DFT, PBE
State: optimized geometry

symmetry = Pmmn, No. 59
V = 19.12 Å³/atom
uncorrected energy = -2.454 eV/atom
formation energy (no corrections) = -779 meV/atom
polymorph energy (0 for the lowest one) = 0.0 kJ per mole of atoms

Structure (extended XYZ):
```
6
Lattice="-0.6627 3.4198 -2.0744 -3.8803 -1.0118 -0.4285 -1.5295 3.3324 5.9815" Properties=species:S:1:pos:R:3 pbc="T T T"
Ag -3.8466 1.7565 2.1317
Ag -2.2395 3.9758 1.3150
Hg -2.3620 3.2506 4.1193
Hg -3.7281 2.4820 -0.6732
F -4.6179 3.4274 5.1300
F -3.0063 5.6372 4.2967
```

=====

[4]
Material: Ag3HgF7
Method: DFT, PBE
State: optimized geometry

symmetry = Cm, No. 8
V = 16.77 Å³/atom
uncorrected energy = -3.175 eV/atom
formation energy (no corrections) = -1179 meV/atom

Structure (extended XYZ):
```
11
Lattice="5.1436 0.2912 3.0064 -0.8991 5.0727 3.0064 0.0396 0.0501 7.0578" Properties=species:S:1:pos:R:3 pbc="T T T"
Ag 3.8183 1.5812 6.3988
Ag 2.3908 3.0214 9.7872
Ag 0.6610 4.0795 6.3988
F 0.0757 0.0956 2.1059
F 0.1928 2.7680 3.2953
F 2.6495 0.8240 3.2953
F 2.3731 2.9990 7.0877
F 3.7840 4.7821 10.9405
F 4.6393 2.5707 9.3244
F 1.4353 5.1061 9.3244
Hg 4.2255 5.3399 12.9812
```

=====

[5]
Material: AgHgF
Method: DFT, PBE
State: optimized geometry

symmetry = I2_12_12_1, No. 24
V = 18.06 Å³/atom
uncorrected energy = -2.398 eV/atom
formation energy (no corrections) = -724 meV/atom
polymorph energy (0 for the lowest one) = 5.3 kJ per mole of atoms

Structure (extended XYZ):
```
12
Lattice="-1.8785 4.7005 -0.4735 -2.4519 -0.5155 4.6101 6.5266 2.9917 3.8058" Properties=species:S:1:pos:R:3 pbc="T T T"
Hg 0.1334 1.1716 3.1879
Hg 0.0254 4.7670 0.5466
Hg 3.6834 5.2754 2.5489
Hg 3.0021 3.6549 4.9913
F -0.8296 2.5526 1.3372
F 5.1910 2.5316 4.5369
F -0.2376 3.1282 4.7023
F 2.1470 1.4405 5.7819
Ag 0.9052 4.8217 3.3324
Ag -2.6448 0.7178 3.9714
Ag -2.9116 3.2094 2.4703
Ag 2.5169 2.6128 2.3049
```

=====

[6]
Material: Ag7HgF12
Method: DFT, PBE
State: optimized geometry

symmetry = Im-3, No. 204
V = 15.63 Å³/atom
uncorrected energy = -3.201 eV/atom
formation energy (no corrections) = -1065 meV/atom

Structure (extended XYZ):
```
20
Lattice="-2.1518 4.8288 -5.1846 4.2621 -5.2058 -3.0924 -5.9583 -3.1742 3.0416" Properties=species:S:1:pos:R:3 pbc="T T T"
F -2.9833 2.5407 -3.8046
F -2.5617 -0.9473 -0.6100
F -0.8648 -6.0918 -1.4308
F 0.1519 0.0076 -6.3153
F -6.1199 -0.2213 -1.5502
F -1.2864 -2.6039 -4.6255
F -3.7275 -1.1360 -3.8269
F -0.7740 0.1729 -2.6838
F -0.1206 -2.4152 -1.4085
F -4.0000 -3.5587 1.0798
F -3.0741 -3.7241 -2.5517
F 2.2718 -3.3298 -3.6853
Ag -2.9792 -1.5871 1.5208
Ag -0.8481 -4.1900 -0.0254
Ag -1.9240 -1.7756 -2.6177
Ag 1.0551 -0.1885 -4.1385
Ag 2.1310 -2.6029 -1.5462
Ag -1.0759 2.4144 -2.5923
Ag -4.0551 0.8273 -1.0715
Hg -3.8481 -3.5512 -5.2354
```

=====

[7]
Material: AgHgF2
Method: DFT, PBE
State: optimized geometry

symmetry = P4/mmm, No. 123
V = 15.09 Å³/atom
uncorrected energy = -2.648 eV/atom
formation energy (no corrections) = -924 meV/atom
polymorph energy (0 for the lowest one) = 1.7 kJ per mole of atoms

Structure (extended XYZ):
```
4
Lattice="-1.4212 0.4681 -2.6809 -1.0094 -4.3122 -0.2178 -3.7986 0.7806 2.1500" Properties=species:S:1:pos:R:3 pbc="T T T"
F -1.8993 0.3903 1.0750
F -0.5047 -2.1561 -0.1089
Hg -3.1146 -1.5317 -0.3744
Ag -0.7106 0.2341 -1.3404
```

=====

[8]
Material: AgHg2F
Method: DFT, PBE
State: optimized geometry

symmetry = R-3m, No. 166
V = 22.92 Å³/atom
uncorrected energy = -1.734 eV/atom
formation energy (no corrections) = -402 meV/atom
polymorph energy (0 for the lowest one) = 12.2 kJ per mole of atoms

Structure (extended XYZ):
```
4
Lattice="3.4415 0.0000 0.0000 1.7208 2.9805 0.0000 1.7208 0.9935 8.9376" Properties=species:S:1:pos:R:3 pbc="T T T"
F 3.4415 1.9870 4.4688
Hg 1.7208 0.9935 6.2796
Hg 5.1623 2.9804 2.6580
Ag 0.0000 0.0000 0.0000
```

=====

[9]
Material: Ag5HgF8
Method: DFT, PBE
State: optimized geometry

symmetry = I-4, No. 82
V = 15.51 Å³/atom
uncorrected energy = -3.212 eV/atom
formation energy (no corrections) = -1103 meV/atom

Structure (extended XYZ):
```
14
Lattice="6.1866 0.8663 -2.0749 -2.9854 5.4874 -2.0749 -0.4365 -0.8663 6.5107" Properties=species:S:1:pos:R:3 pbc="T T T"
Ag 1.6006 3.1769 -2.0749
Ag 4.6071 0.9506 2.8227
Ag 1.9995 0.7492 0.5029
Ag 3.1019 3.4347 1.6648
Ag 4.9930 1.2192 -0.2686
F -2.2519 4.8484 2.7750
F -0.7556 2.1475 3.3553
F 2.2071 1.1761 2.8532
F 0.8123 4.8167 -0.8223
F -0.0298 2.0357 0.1827
F 3.2658 2.8346 -0.6644
F -2.3889 4.2999 -0.5217
F 1.0280 4.4120 2.2857
Hg -0.9106 3.8990 1.1805
```

=====

[10]
Material: Ag5Hg2F12
Method: DFT, PBE
State: optimized geometry

symmetry = C2/m, No. 12
V = 16.10 Å³/atom
uncorrected energy = -3.116 eV/atom
formation energy (no corrections) = -1152 meV/atom
polymorph energy (0 for the lowest one) = 1.3 kJ per mole of atoms

Structure (extended XYZ):
```
19
Lattice="-4.4982 -4.9971 -2.0506 5.3363 1.8371 -4.1349 2.8094 -4.7132 5.3226" Properties=species:S:1:pos:R:3 pbc="T T T"
F -1.5988 -4.5728 -2.5970
F -1.5067 -6.4339 -0.3049
F 5.1542 -1.4393 -0.5580
F 3.3048 -5.4572 0.8490
F 0.3427 -2.4160 -1.7119
F 2.4506 -4.4427 -1.7905
F 3.4222 -1.5575 -3.7116
F 1.1969 -3.4304 0.9275
F 2.9604 -4.2342 3.8243
F 0.6871 -3.6389 -4.6872
F 0.2253 -6.3156 2.8486
F 5.2463 -3.3003 1.7341
Ag 1.8001 -7.1991 1.5471
Ag 3.5929 -3.1676 -0.1624
Ag 0.0546 -4.7056 -0.7005
Ag 1.4047 -2.3566 2.6613
Ag 1.8474 -0.6740 -2.4100
Hg -3.3619 -3.7347 -1.5326
Hg -1.1364 -1.2624 -0.5180
```

=====

[11]
Material: Ag2HgF
Method: DFT, PBE
State: optimized geometry

symmetry = Fm-3m, No. 225
V = 18.04 Å³/atom
uncorrected energy = -2.313 eV/atom
formation energy (no corrections) = -344 meV/atom
polymorph energy (0 for the lowest one) = 14.9 kJ per mole of atoms

Structure (extended XYZ):
```
4
Lattice="-2.9759 -3.5863 -0.3462 -2.4435 -1.3777 3.7374 -4.6069 0.7599 0.1896" Properties=species:S:1:pos:R:3 pbc="T T T"
Hg -5.0131 -2.1020 1.7904
F 0.0000 0.0000 0.0000
Ag -7.5197 -3.1531 2.6856
Ag -2.5066 -1.0510 0.8952
```

=====

[12]
Material: AgHgF4
Method: DFT, PBE
State: optimized geometry

symmetry = I4/mcm, No. 140
V = 14.90 Å³/atom
uncorrected energy = -3.051 eV/atom
formation energy (no corrections) = -1278 meV/atom
polymorph energy (0 for the lowest one) = 0.0 kJ per mole of atoms

Structure (extended XYZ):
```
12
Lattice="-2.3508 -0.8340 -5.0802 -4.7465 -1.8118 2.4938 1.5821 6.5470 1.3456" Properties=species:S:1:pos:R:3 pbc="T T T"
Hg -0.9833 2.6121 0.0262
Hg -4.5319 1.2892 -1.2670
F -5.9718 -0.6672 -1.5066
F -1.2445 3.9508 -1.9981
F -4.2707 -0.0495 0.7573
F -3.3574 3.1373 -0.1885
F 0.4566 4.5685 0.2658
F -1.6563 3.7550 2.0754
F -2.1578 0.7640 -1.0523
F -3.8589 0.1464 -3.3162
Ag -2.3732 -0.9059 1.2469
Ag -1.1754 -0.4170 -2.5401
```

=====

[13]
Material: HoAgHgF6
Method: DFT, PBE
State: optimized geometry

symmetry = P4_2nm, No. 102
V = 17.59 Å³/atom
uncorrected energy = -4.609 eV/atom
formation energy (no corrections) = -2502 meV/atom

Structure (extended XYZ):
```
18
Lattice="-1.4150 2.3425 4.6107 -4.9619 0.7323 -1.8948 -2.9935 -9.7906 4.0554" Properties=species:S:1:pos:R:3 pbc="T T T"
F -4.9910 -8.7046 4.8757
F -5.5152 -0.9715 3.2474
F -2.7967 -2.2822 2.0897
F -3.9896 -5.8104 3.6133
F -6.6702 -6.9841 2.8302
F -4.6352 -6.0603 6.5624
F -5.7817 -3.7635 1.2701
F -7.3075 -7.5877 5.8623
F -2.6799 0.1793 4.0897
F -3.5233 -2.7382 5.4124
F -4.8254 -0.7947 0.1546
F -6.5092 -4.5956 4.6864
Hg -3.6873 -0.0942 2.0337
Hg -1.9956 -6.5269 2.7035
Ho -5.6820 -6.6180 4.7360
Ho -0.9968 -3.2601 1.3504
Ag -2.9903 -9.7803 4.0511
Ag -4.6821 -3.3476 3.3813
```

=====

[14]
Material: Ag2HgIF
Method: DFT, PBE
State: optimized geometry

symmetry = P4/mmm, No. 123
V = 27.42 Å³/atom
uncorrected energy = -1.959 eV/atom
formation energy (no corrections) = -74 meV/atom

Structure (extended XYZ):
```
5
Lattice="-3.2897 -3.8967 -1.9248 -0.8424 -1.4176 4.3096 -4.2307 3.4239 0.2993" Properties=species:S:1:pos:R:3 pbc="T T T"
I -4.1814 -0.9452 1.3420
Hg 0.0000 0.0000 0.0000
F -0.4212 -0.7088 2.1548
Ag -1.6449 -1.9484 -0.9624
Ag -2.1154 1.7119 0.1496
```

=====

[15]
Material: InAg2HgF6
Method: DFT, PBE
State: optimized geometry

symmetry = P2_1/c, No. 14
V = 16.12 Å³/atom
uncorrected energy = -3.568 eV/atom
formation energy (no corrections) = -1571 meV/atom

Structure (extended XYZ):
```
20
Lattice="5.8797 0.0000 0.4151 0.0000 6.5852 0.0000 0.6277 0.0000 8.3703" Properties=species:S:1:pos:R:3 pbc="T T T"
Ag 3.7387 3.7870 6.5177
Ag 2.7688 2.7982 2.2677
Ag 6.0226 0.4944 6.6604
Ag 0.4849 6.0907 2.1250
F 4.7516 2.2322 8.2254
F 1.4429 2.8179 6.4735
F 2.3035 4.8649 3.5921
F 4.0689 0.4747 2.4959
F 1.7559 4.3530 0.5600
F 5.5572 5.0129 7.9848
F 2.4386 6.1105 6.2895
F 1.4979 1.0604 3.8327
F 4.2040 1.7203 5.1933
F 5.0646 3.7673 2.3119
F 5.0096 5.5248 4.9527
F 0.9502 1.5723 0.8006
In 3.2537 0.0000 4.3927
In 0.0000 3.2926 0.0000
Hg 0.3139 3.2926 4.1851
Hg 2.9399 0.0000 0.2076
```

=====

[16]
Material: K4Ag3HgF12
Method: DFT, PBE
State: optimized geometry

symmetry = Im-3m, No. 229
V = 17.59 Å³/atom
uncorrected energy = -3.662 eV/atom
formation energy (no corrections) = -1877 meV/atom

Structure (extended XYZ):
```
20
Lattice="-1.8851 2.7494 6.9441 -4.1630 -6.3096 -1.4801 7.4926 -1.7838 -0.1078" Properties=species:S:1:pos:R:3 pbc="T T T"
F 1.2917 -0.4072 4.7841
F 0.8433 -2.0499 -0.4022
F -1.5318 -0.9017 1.3839
F -4.5163 -2.6585 4.0801
F 3.0667 -3.8053 0.9151
F -2.1917 -3.8035 2.3350
F 1.4202 0.2446 1.7314
F -1.6222 -1.5387 4.4410
F 2.4863 -6.0435 -1.1857
F 4.1873 0.7211 5.1048
F 0.1528 -4.9368 0.5720
F 3.6362 -1.5405 3.0211
Hg 0.0000 0.0000 0.0000
Ag 2.8038 0.4828 3.4181
Ag -3.0241 -1.7801 2.7320
Ag 1.6648 -4.0467 -0.7940
K -2.0815 -3.1548 -0.7400
K 0.7222 -2.6720 2.6781
K 3.7463 -0.8919 -0.0539
K -0.9426 1.3747 3.4720
```

=====

[17]
Material: K4AgHg3F12
Method: DFT, PBE
State: optimized geometry

symmetry = Im-3m, No. 229
V = 18.86 Å³/atom
uncorrected energy = -3.445 eV/atom
formation energy (no corrections) = -1915 meV/atom

Structure (extended XYZ):
```
20
Lattice="-1.0135 7.6691 1.5230 -0.3179 -4.0819 6.7379 7.0245 -1.0967 -3.4082" Properties=species:S:1:pos:R:3 pbc="T T T"
F -0.3323 0.8954 2.0619
F 3.0204 -1.6925 3.7300
F 0.8370 3.4367 3.6591
F 2.6726 4.1830 1.1226
F 1.5003 1.6405 -0.4706
F 4.5106 4.9320 -1.4147
F 5.0327 -3.8860 2.4986
F 1.6739 -1.2925 0.8311
F 4.6821 1.9916 -0.1102
F 4.8560 -0.9462 1.1935
F 1.0109 0.4990 4.9628
F -0.9991 2.6919 6.1990
Hg 3.3533 -2.5893 1.6648
Hg -0.6657 1.7936 4.1304
Hg 3.0055 3.2862 -0.9426
K 2.8465 1.2453 2.4263
K 3.5122 -0.5483 -1.7041
K -0.1589 -2.0409 3.3689
K -0.5068 3.8346 0.7615
Ag 0.0000 0.0000 0.0000
```

=====

[18]
Material: KAgHg2F6
Method: DFT, PBE
State: optimized geometry

symmetry = C2/c, No. 15
V = 18.44 Å³/atom
uncorrected energy = -3.192 eV/atom
formation energy (no corrections) = -1614 meV/atom

Structure (extended XYZ):
```
20
Lattice="-5.8713 0.5752 -1.5777 -1.3958 -7.7325 0.4754 -2.5731 -0.7525 7.4013" Properties=species:S:1:pos:R:3 pbc="T T T"
F -5.4057 -6.6483 2.5188
F -3.0125 -3.7195 6.4991
F -7.0550 -2.0847 1.9582
F -5.8965 -4.4960 4.5853
F -2.7852 -5.8251 4.3407
F -4.4346 -1.2615 3.7802
F -3.9437 -3.4138 1.7137
F -6.8278 -4.1903 -0.2002
F -3.0609 -1.0697 0.1404
F -6.0659 -0.3706 -0.2402
F -6.7794 -6.8401 6.1586
F -3.7743 -7.5392 6.5391
Ag -3.5566 -3.4803 4.1575
Ag -6.2837 -4.4295 2.1415
K -3.0499 -6.4848 1.1763
K -6.7904 -1.4249 5.1227
Hg -4.8971 -6.8004 4.7290
Hg -1.7926 -2.6709 1.0948
Hg -8.0476 -5.2389 5.2041
Hg -4.9431 -1.1093 1.5700
```

=====

[19]
Material: K3AgHg2F9
Method: DFT, PBE
State: optimized geometry

symmetry = P-3m1, No. 164
V = 18.65 Å³/atom
uncorrected energy = -3.481 eV/atom
formation energy (no corrections) = -1908 meV/atom

Structure (extended XYZ):
```
15
Lattice="6.3902 0.0000 0.0000 -3.1951 5.5341 0.0000 0.0000 0.0000 7.9102" Properties=species:S:1:pos:R:3 pbc="T T T"
F 1.5976 2.7671 0.0000
F 1.5999 0.9237 5.2161
F 1.5952 4.6104 2.6942
F 4.7903 0.9237 5.2161
F 3.1951 3.6867 5.2161
F 3.1951 0.0000 0.0000
F -1.5952 4.6104 2.6942
F -1.5976 2.7671 0.0000
F 0.0000 1.8474 2.6942
K 0.0000 0.0000 0.0000
K 0.0000 3.6894 5.1145
K 3.1951 1.8447 2.7957
Hg 0.0000 3.6894 1.3480
Hg 3.1951 1.8447 6.5622
Ag 0.0000 0.0000 3.9551
```

=====

[20]
Material: KAgHgF2
Method: DFT, PBE
State: optimized geometry

symmetry = P4/mmm, No. 123
V = 27.16 Å³/atom
uncorrected energy = -2.418 eV/atom
formation energy (no corrections) = -819 meV/atom

Structure (extended XYZ):
```
5
Lattice="-4.0017 0.3459 2.6512 -1.4469 -5.4884 -1.4679 2.3954 -1.6562 3.8316" Properties=species:S:1:pos:R:3 pbc="T T T"
K 0.0000 0.0000 0.0000
F 1.1977 -0.8281 1.9158
F -2.0008 0.1730 1.3256
Hg -0.7235 -2.7442 -0.7339
Ag -1.5266 -3.3994 2.5075
```